# CeGePtRh (GGA-PBE, relaxed)
# calculated volume = 86 Å³/f.u.
# E = -6.66 eV per atom
# DFT formation energy = -0.6727 eV per atom
data_CeGePtRh
_space_group_name_H-M_alt 'I m m 2'
_space_group_IT_number 44
_space_group_name_Hall 'I 2 -2'
_cell_length_a 3.9258
_cell_length_b 4.1014
_cell_length_c 10.6290
_cell_angle_alpha 90.00
_cell_angle_beta 90.00
_cell_angle_gamma 90.00
loop_
_atom_site_label
_atom_site_fract_x
_atom_site_fract_y
_atom_site_fract_z
Ce1 0.0000 0.0000 0.0000
Ge1 0.0000 0.5000 0.2458
Pt1 0.0000 0.0000 0.3682
Rh1 0.0000 0.0000 0.6167